Record 1
ScCr2Rh2 | GGA-PBE | relaxed

a = 4.0587 Å, b = 4.0587 Å, c = 5.5659 Å
α = 68.62°, β = 68.62°, γ = 90.00°
Fractional positions:
Cr (0.3971, 0.3971, 0.2059)
Rh (0.7500, 0.2500, 0.5000)
Rh (0.2500, 0.7500, 0.5000)
Sc (0.0000, 0.0000, 0.0000)
Cr (0.6029, 0.6029, 0.7941)

Size of the total moment ... 0.0 μB/f.u.
Energy relative to the elements ... -0.07 eV per atom
Relative energy among the computed polymorphs ... 51.0 meV per atom

***

Record 2
TaGe2Pt2 | GGA-PBE | relaxed

a = 7.2916 Å, b = 7.2916 Å, c = 3.0680 Å
α = 90.00°, β = 90.00°, γ = 90.00°
Fractional positions:
Ge (0.8519, 0.6481, 0.0000)
Pt (0.3478, 0.1522, 0.5000)
Ta (0.5000, 0.5000, 0.0000)
Pt (0.6522, 0.8478, 0.5000)
Ge (0.3519, 0.8519, 0.0000)
Ta (0.0000, 0.0000, 0.0000)
Pt (0.1522, 0.6522, 0.5000)
Pt (0.8478, 0.3478, 0.5000)
Ge (0.6481, 0.1481, 0.0000)
Ge (0.1481, 0.3519, 0.0000)

Size of the total moment ... 0.0 μB/f.u.
Energy relative to the elements ... -0.18 eV per atom

***

Record 3
Mn2AlSnW | GGA-PBE | relaxed

a = 4.6179 Å, b = 4.9714 Å, c = 4.6179 Å
α = 90.00°, β = 90.00°, γ = 90.00°
Fractional positions:
Al (0.5000, 0.5000, 0.5000)
Sn (0.0000, 0.0000, 0.0000)
Mn (0.0000, 0.0000, 0.5000)
Mn (0.5000, 0.0000, 0.0000)
W (0.0000, 0.5000, 0.0000)

Size of the total moment ... 0.2 μB/f.u.
Energy relative to the elements ... 2.17 eV per atom

***

no.,E_tot (eV/cell),DOS(E_F) (states/eV per atom)
1,-40.6,1.472
2,-68.1,0.704
3,-28.2,2.437